No. 1
A plane-wave DFT calculation with PBE was carried out for Ca3TlCd after structural relaxation.

Results
**Polymorph energy (0 for the lowest one)**: 0.367 eV per atom
**Space group**: Pm-3m

Lattice parameters (Å, degrees): 5.9734 5.9734 5.9734 90.00 90.00 90.00
Last column: nearest neighbours and their distance in Å.
Positions (direct):
1 Tl 0.0000 0.0000 0.0000  6 Ca 2.99
2 Ca 0.0000 0.5000 0.0000  2 Tl 2.99
3 Ca 0.0000 0.0000 0.5000  2 Tl 2.99
4 Ca 0.5000 0.0000 0.0000  2 Tl 2.99
5 Cd 0.5000 0.5000 0.5000  12 Ca 4.22

No. 2
A plane-wave DFT calculation with PBE was carried out for CaTl3Cd after structural relaxation.

Results
**Polymorph energy (0 for the lowest one)**: 0.074 eV per atom
**Space group**: P2_1/m

Lattice parameters (Å, degrees): 3.9074 9.8524 8.6363 90.00 90.00 113.19
Last column: nearest neighbours and their distance in Å.
Positions (direct):
1 Ca 0.9285 0.4281 0.7500  10 Tl 3.37-3.51
2 Ca 0.0715 0.5719 0.2500  10 Tl 3.37-3.51
3 Tl 0.3234 0.3226 0.0484  2 Cd 3.07-3.08, 2 Tl 3.23-3.32, 2 Ca 3.37
4 Tl 0.6766 0.6774 0.9516  2 Cd 3.07-3.08, 2 Tl 3.23-3.32, 2 Ca 3.37
5 Tl 0.3234 0.3226 0.4516  2 Cd 3.07-3.08, 2 Tl 3.23-3.32, 2 Ca 3.37
6 Tl 0.6766 0.6774 0.5484  2 Cd 3.07-3.08, 2 Tl 3.23-3.32, 2 Ca 3.37
7 Tl 0.1061 0.1078 0.7500  2 Cd 3.00, 2 Tl 3.23
8 Tl 0.8939 0.8922 0.2500  2 Cd 3.00, 2 Tl 3.23
9 Cd 0.3552 0.8561 0.7500  6 Tl 3.00-3.08
10 Cd 0.6448 0.1439 0.2500  6 Tl 3.00-3.08

No. 3
A plane-wave DFT calculation with PBE was carried out for CaTl2Cd16 after structural relaxation.

Results
**Space group**: R3m

Lattice parameters (Å, degrees): 7.8055 7.8055 7.8055 83.30 83.30 83.30
Last column: nearest neighbours and their distance in Å.
Positions (direct):
1 Ca 0.9801 0.9801 0.9801  16 Cd 3.57-3.82
2 Tl 0.6712 0.6712 0.6712  12 Cd 3.44-3.72, 1 Tl 3.58
3 Tl 0.4327 0.4327 0.4327  13 Cd 3.22-3.61, 1 Tl 3.58
4 Cd 0.6138 0.0098 0.3161  8 Cd 2.96-3.24
5 Cd 0.0098 0.3161 0.6138  8 Cd 2.96-3.24
6 Cd 0.3161 0.6138 0.0098  8 Cd 2.96-3.24
7 Cd 0.0098 0.6138 0.3161  8 Cd 2.96-3.24
8 Cd 0.6138 0.3161 0.0098  8 Cd 2.96-3.24
9 Cd 0.3161 0.0098 0.6138  8 Cd 2.96-3.24
10 Cd 0.3000 0.8302 0.3000  9 Cd 2.96-3.20, 1 Tl 3.24
11 Cd 0.8302 0.3000 0.3000  9 Cd 2.96-3.20, 1 Tl 3.24
12 Cd 0.3000 0.3000 0.8302  9 Cd 2.96-3.20, 1 Tl 3.24
13 Cd 0.6773 0.1465 0.6773  8 Cd 2.91-3.24
14 Cd 0.1465 0.6773 0.6773  8 Cd 2.91-3.24
15 Cd 0.6773 0.6773 0.1465  8 Cd 2.91-3.24
16 Cd 0.9567 0.4740 0.9567  8 Cd 2.91-3.21
17 Cd 0.4740 0.9567 0.9567  8 Cd 2.91-3.21
18 Cd 0.9567 0.9567 0.4740  8 Cd 2.91-3.21
19 Cd 0.2179 0.2179 0.2179  6 Cd 3.03-3.37, 1 Tl 3.22

No. 4
A plane-wave DFT calculation with PBE was carried out for Ca3TlCd4 after structural relaxation.

Results
**Space group**: R-3m

Lattice parameters (Å, degrees): 5.3447 5.3447 9.4067 73.50 73.50 60.00
Last column: nearest neighbours and their distance in Å.
Positions (direct):
1 Ca 0.2543 0.2543 0.2371  8 Cd 3.22-3.36
2 Ca 0.7457 0.7457 0.7629  8 Cd 3.22-3.36
3 Ca 0.5000 0.5000 0.5000  8 Cd 3.25
4 Tl 0.0000 0.0000 0.0000  8 Cd 3.31-3.42
5 Cd 0.8716 0.8716 0.3851  7 Ca 3.25-3.36, 1 Tl 3.42
6 Cd 0.3780 0.3780 0.8659  5 Ca 3.22-3.30, 3 Tl 3.31
7 Cd 0.1284 0.1284 0.6149  7 Ca 3.25-3.36, 1 Tl 3.42
8 Cd 0.6220 0.6220 0.1341  5 Ca 3.22-3.30, 3 Tl 3.31

No. 5
A plane-wave DFT calculation with PBE was carried out for Ca2Tl4Cd after structural relaxation.

Results
**Polymorph energy (0 for the lowest one)**: 0.228 eV per atom
**Space group**: I4/mmm

Lattice parameters (Å, degrees): 5.6360 5.6360 8.9758 108.30 108.30 90.00
Last column: nearest neighbours and their distance in Å.
Positions (direct):
1 Ca 0.6175 0.6175 0.2349  5 Tl 3.18-3.39
2 Ca 0.3825 0.3825 0.7651  5 Tl 3.18-3.39
3 Tl 0.8152 0.8152 0.6304  1 Cd 2.97, 1 Ca 3.18
4 Tl 0.1848 0.1848 0.3696  1 Cd 2.97, 1 Ca 3.18
5 Tl 0.0000 0.5000 0.0000  2 Cd 2.82
6 Tl 0.5000 0.0000 0.0000  2 Cd 2.82
7 Cd 0.0000 0.0000 0.0000  6 Tl 2.82-2.97

No. 6
A plane-wave DFT calculation with PBE was carried out for CaTl4Cd after structural relaxation.

Results
**Polymorph energy (0 for the lowest one)**: 0.031 eV per atom
**Space group**: C2/c

Lattice parameters (Å, degrees): 8.3914 5.6375 9.9514 91.48 104.40 127.64
Last column: nearest neighbours and their distance in Å.
Positions (direct):
1 Ca 0.3775 0.6275 0.2549  2 Cd 3.33, 10 Tl 3.52-3.67
2 Ca 0.6225 0.3725 0.7451  2 Cd 3.33, 10 Tl 3.52-3.67
3 Tl 0.2021 0.9640 0.4163  5 Tl 3.17-3.40, 2 Cd 3.42-3.45, 1 Ca 3.52
4 Tl 0.0373 0.7882 0.0780  5 Tl 3.17-3.35, 1 Ca 3.53
5 Tl 0.2858 0.5477 0.5837  5 Tl 3.17-3.40, 2 Cd 3.42-3.45, 1 Ca 3.52
6 Tl 0.4593 0.7102 0.9220  5 Tl 3.17-3.35, 1 Ca 3.53
7 Tl 0.7979 0.0360 0.5837  5 Tl 3.17-3.40, 2 Cd 3.42-3.45, 1 Ca 3.52
8 Tl 0.7142 0.4523 0.4163  5 Tl 3.17-3.40, 2 Cd 3.42-3.45, 1 Ca 3.52
9 Tl 0.9627 0.2118 0.9220  5 Tl 3.17-3.35, 1 Ca 3.53
10 Tl 0.5407 0.2898 0.0780  5 Tl 3.17-3.35, 1 Ca 3.53
11 Cd 0.8797 0.1297 0.2595  2 Ca 3.33, 10 Tl 3.42-3.72
12 Cd 0.1203 0.8703 0.7405  2 Ca 3.33, 10 Tl 3.42-3.72

No. 7
A plane-wave DFT calculation with PBE was carried out for Ca2TlCd after structural relaxation.

Results
**Space group**: P4/mmm

Lattice parameters (Å, degrees): 5.4388 3.8903 5.4388 90.00 90.00 90.00
Last column: nearest neighbours and their distance in Å.
Positions (direct):
1 Tl 0.5000 0.6250 0.8745  8 Ca 3.34
2 Ca 0.0000 0.1249 0.8754  4 Cd 3.34, 4 Tl 3.34
3 Ca 0.5000 0.1251 0.3748  4 Tl 3.34, 4 Cd 3.34
4 Cd 0.0000 0.6250 0.3754  8 Ca 3.34

No. 8
A plane-wave DFT calculation with PBE was carried out for CaTl6Cd3 after structural relaxation.

Results
**Space group**: Cmc2_1

Lattice parameters (Å, degrees): 7.6896 9.0127 9.0127 107.20 90.00 90.00
Last column: nearest neighbours and their distance in Å.
Positions (direct):
1 Ca 0.0737 0.2353 0.7647  6 Tl 3.37-3.53, 3 Cd 3.46-3.48
2 Ca 0.5737 0.7647 0.2353  6 Tl 3.37-3.53, 3 Cd 3.46-3.48
3 Tl 0.1106 0.7628 0.6924  4 Cd 3.11-3.45, 2 Tl 3.28-3.34
4 Tl 0.6106 0.6924 0.7628  4 Cd 3.11-3.45, 2 Tl 3.28-3.34
5 Tl 0.2959 0.5630 0.9369  3 Cd 3.03-3.28, 2 Tl 3.28-3.36, 1 Ca 3.37
6 Tl 0.7959 0.9369 0.5630  3 Cd 3.03-3.28, 2 Tl 3.28-3.36, 1 Ca 3.37
7 Tl 0.3098 0.9525 0.0475  4 Cd 3.17-3.53, 4 Tl 3.36-3.50, 1 Ca 3.40
8 Tl 0.6359 0.3083 0.6917  3 Cd 3.28-3.36, 4 Tl 3.34-3.43, 1 Ca 3.53
9 Tl 0.1359 0.6917 0.3083  3 Cd 3.28-3.36, 4 Tl 3.34-3.43, 1 Ca 3.53
10 Tl 0.8098 0.0475 0.9525  4 Cd 3.17-3.53, 4 Tl 3.36-3.50, 1 Ca 3.40
11 Tl 0.2959 0.0631 0.4370  3 Cd 3.03-3.28, 2 Tl 3.28-3.36, 1 Ca 3.37
12 Tl 0.7959 0.4370 0.0631  3 Cd 3.03-3.28, 2 Tl 3.28-3.36, 1 Ca 3.37
13 Tl 0.1106 0.3076 0.2372  4 Cd 3.11-3.45, 2 Tl 3.28-3.34
14 Tl 0.6106 0.2372 0.3076  4 Cd 3.11-3.45, 2 Tl 3.28-3.34
15 Cd 0.4286 0.9905 0.7238  6 Tl 3.03-3.36, 1 Cd 3.06
16 Cd 0.9286 0.7238 0.9905  6 Tl 3.03-3.36, 1 Cd 3.06
17 Cd 0.2957 0.4444 0.5556  7 Tl 3.11-3.45, 1 Ca 3.48
18 Cd 0.7957 0.5556 0.4444  7 Tl 3.11-3.45, 1 Ca 3.48
19 Cd 0.9286 0.0095 0.2762  6 Tl 3.03-3.36, 1 Cd 3.06
20 Cd 0.4286 0.2762 0.0095  6 Tl 3.03-3.36, 1 Cd 3.06

Asked for ΔH_f (0 K) across the records above, the calculation gives 2.8, -8.2, -4.1, -26.6, 5.5, -9.6, -39.5, -1.4 kJ/mol of atoms in order.
Asked for mass density across the records above, the calculation gives 3.40, 8.32, 8.00, 5.85, 6.57, 9.17, 5.73, 8.93 g cm⁻³ in order.